! Cr2CoNi6 PBE optimized geometry; values from VASP
! theoretical density: 8.6 g cm⁻³
! formation energy from the elements: 107.9 meV/atom
! E: -6.67 eV/atom
! calculated volume: 11.0 Å³ per atom
! relative energy among the computed polymorphs: 91.6 meV/atom
&SYSTEM
  ibrav = 0, nat = 9, ntyp = 3
/
ATOMIC_SPECIES
Cr 52.00 Cr.upf
Co 58.93 Co.upf
Ni 58.69 Ni.upf
CELL_PARAMETERS angstrom
5.996 -3.463 0.000
5.996 3.463 0.000
-0.001 0.000 2.394
ATOMIC_POSITIONS angstrom
Cr 1.999 0.000 0.000
Cr 9.993 0.000 2.394
Co 5.996 0.000 0.000
Ni 5.996 2.310 1.197
Ni 3.996 1.155 1.203
Ni 3.996 -1.155 1.203
Ni 7.995 1.155 1.191
Ni 7.995 -1.155 1.191
Ni 5.996 -2.310 1.197